[1]
Material: AcLa3Sb2
Method: DFT, PBE-GGA
State: relaxed

Results
Fermi-level density of states in states/eV/cell: 15.440
Space group: No. 12
Total energy in eV/atom: -5.294

POSCAR file:
```
AcLa3Sb2
1.0
-4.1425 2.0040 0.6293
0.9071 -6.2589 8.7625
4.3887 9.3550 -0.9011
La Sb Ac
6 4 2
Cartesian
-0.6297 1.6026 7.8914
1.7830 3.4974 0.5993
1.2142 7.1793 2.2703
1.5165 1.5084 5.1795
-0.0609 -2.0792 6.2204
-0.3633 3.5916 3.3112
2.4652 2.5396 8.1406
2.8043 4.6363 3.6960
-1.6510 0.4638 4.7947
-1.3119 2.5605 0.3501
0.9788 5.3564 6.5260
0.1744 -0.2563 1.9646
```


[2]
Material: PmTmSn2Pd4
Method: DFT, PBE-GGA
State: relaxed

Results
Fermi-level density of states in states/eV/cell: 4.021
Space group: No. 166
Total energy in eV/atom: -5.603

POSCAR file:
```
PmTmSn2Pd4
1.0
4.7362 0.0000 0.0000
2.3681 4.1017 0.0000
2.3681 1.3672 8.2496
Pd Sn Pm Tm
4 2 1 1
Cartesian
4.7362 2.7344 1.3423
7.1043 4.1017 3.0920
4.7362 2.7344 6.9073
2.3681 1.3672 5.1576
7.1043 4.1017 6.1354
2.3681 1.3672 2.1142
0.0000 0.0000 0.0000
4.7362 2.7344 4.1248
```


[3]
Material: Ce2GePRu
Method: DFT, PBE-GGA
State: relaxed

Results
Fermi-level density of states in states/eV/cell: 14.414
Space group: No. 129
Total energy in eV/atom: -7.043

POSCAR file:
```
Ce2GePRu
1.0
-0.3569 3.7915 -1.5967
-3.9314 -0.7865 -0.9888
-3.9140 4.6332 11.8768
Ce P Ge Ru
4 2 2 2
Cartesian
-3.6485 6.0033 9.7311
-4.5814 2.7030 7.4426
-1.4768 3.4327 3.1415
-2.4098 0.1324 0.8530
-3.5430 1.4738 4.2917
-2.5152 4.6619 6.2924
-0.6108 2.4076 0.5136
-5.4474 3.7282 10.0705
-1.9570 2.3166 5.9384
-4.1012 3.8191 4.6457
```


[4]
Material: Tc2NiBr
Method: DFT, PBE-GGA
State: relaxed

Results
Fermi-level density of states in states/eV/cell: 5.968
Space group: No. 123
Total energy in eV/atom: -6.242

POSCAR file:
```
Tc2NiBr
1.0
-2.0817 3.4031 -1.8593
-3.6340 -0.9755 2.2835
0.9038 1.7464 2.1844
Tc Ni Br
2 1 1
Cartesian
0.0000 0.0000 0.0000
-2.8578 1.2138 0.2121
-1.3651 0.3854 2.2340
-0.5889 2.5747 0.1625
```


[5]
Material: BaCo2Ni
Method: DFT, PBE-GGA
State: relaxed

Results
Fermi-level density of states in states/eV/cell: 6.963
Space group: No. 119
Total energy in eV/atom: -4.528

POSCAR file:
```
BaCo2Ni
1.0
4.8503 0.0000 0.0000
0.9651 4.7533 0.0000
-2.9077 -2.3766 3.0695
Ba Ni Co
1 1 2
Cartesian
2.4251 0.0000 1.5348
2.9077 2.3766 0.0000
0.4825 2.3766 1.5348
0.0000 0.0000 0.0000
```


[6]
Material: CrCd2Ag
Method: DFT, PBE-GGA
State: relaxed

Results
Fermi-level density of states in states/eV/cell: 1.668
Space group: No. 119
Total energy in eV/atom: -3.349

POSCAR file:
```
CrCd2Ag
1.0
5.1169 -0.0965 -0.0109
1.5740 4.8698 0.0109
-3.3381 -2.3969 3.0503
Cd Cr Ag
2 1 1
Cartesian
2.5622 -0.0534 1.5197
6.6908 4.7731 0.0000
3.3457 2.3868 0.0000
0.7906 2.4297 1.5306
```


[7]
Material: La6CeSmDy2
Method: DFT, PBE-GGA
State: relaxed

Results
Fermi-level density of states in states/eV/cell: 23.355
Space group: No. 12
Total energy in eV/atom: -4.720

POSCAR file:
```
La6CeSmDy2
1.0
8.9858 0.0000 0.7655
0.0000 6.8686 0.0000
-2.5922 -3.4343 5.5591
Dy Sm La Ce
2 1 6 1
Cartesian
1.0754 0.0000 1.2714
5.3182 3.4343 5.0532
4.4929 0.0000 0.3828
2.8878 3.4343 2.1374
3.5058 0.0000 4.1872
-0.1072 -1.6515 4.0729
6.5008 1.7828 2.2516
6.5008 5.0858 2.2516
-0.1072 1.6515 4.0729
0.0000 3.4343 0.0000
```


> Look up the total energy of the fifth one.

-4.528 eV/atom